Model a:
Here is an optimized crystal structure of LaSm7Sc2 from Alexandria. Energies are from PBE-GGA.

Calculated values
density of states at the Fermi level	14.4	states/eV per cell
total magnetization	0.0	Bohr magnetons per cell
space-group type	Cmmm

Cell lengths 5.6701, 8.8669, 8.8670 Å; angles 119.45, 90.00, 90.00 degrees
With the nearest neighbours (Å) after each atom.
Fractional coordinates of all 10 atoms:
Sm  0.5000  0.5000  0.5000  2 Sc 3.10, 4 Sm 3.41
Sm  0.5000  0.9404  0.6941  2 Sc 3.08-3.13, 2 Sm 3.27-3.41
Sm  0.5000  0.0596  0.3059  2 Sc 3.08-3.13, 2 Sm 3.27-3.41
Sm  0.5000  0.6941  0.9404  2 Sc 3.08-3.13, 2 Sm 3.27-3.41
Sm  0.0000  0.2507  0.7493  2 Sc 2.93
Sm  0.0000  0.7493  0.2507  2 Sc 2.93
Sm  0.5000  0.3059  0.0596  2 Sc 3.08-3.13, 2 Sm 3.27-3.41
Sc  0.5000  0.2977  0.7023  7 Sm 2.93-3.13
Sc  0.5000  0.7023  0.2977  7 Sm 2.93-3.13
La  0.0000  0.0000  0.0000  10 Sm 3.78-3.84

---

Model b:
Here is an optimized crystal structure of LaSm7Sc2 from Alexandria. Energies are from PBE-GGA.

Calculated values
density of states at the Fermi level	16.5	states/eV per cell
total magnetization	0.0	Bohr magnetons per cell
space-group type	P-1

Cell lengths 5.4574, 8.9178, 9.5016 Å; angles 118.03, 73.32, 127.78 degrees
With the nearest neighbours (Å) after each atom.
Fractional coordinates of all 10 atoms:
Sc  0.5000  0.6986  0.3965  9 Sm 3.19-3.55
Sc  0.5000  0.3014  0.6035  9 Sm 3.19-3.55
Sm  0.9997  0.7966  0.5938  4 Sc 3.19-3.53, 1 La 3.41, 2 Sm 3.55-3.56
Sm  0.7527  0.1403  0.7754  8 Sm 3.48-3.77, 3 Sc 3.54-3.64, 2 La 3.76-3.77
Sm  0.5000  0.5000  0.0000  2 Sc 3.33, 2 La 3.52
Sm  0.7529  0.3652  0.2244  8 Sm 3.48-3.77, 3 Sc 3.54-3.65, 2 La 3.76
Sm  0.2473  0.8597  0.2246  8 Sm 3.48-3.77, 3 Sc 3.54-3.64, 2 La 3.76-3.77
Sm  0.0003  0.2034  0.4062  4 Sc 3.19-3.53, 1 La 3.41, 2 Sm 3.55-3.56
Sm  0.2471  0.6348  0.7756  8 Sm 3.48-3.77, 3 Sc 3.54-3.65, 2 La 3.76
La  0.0000  0.0000  0.0000  12 Sm 3.41-3.77

---

Among the structures above, stability is greatest for model b.